Compound: DyMgWO6
Source: Alexandria via LeMat-Bulk
Functional: PBE+U
Structure: relaxed

Output
As for the density of states at the Fermi level: 0.4493 states/eV per atom. The calculated density comes out at 6.67 g cm⁻³. For the total energy, the calculation gives -7.1177 eV/atom.

Geometry as extended XYZ:
```
9
Lattice="4.4501 0.0000 0.0000 0.0000 5.4889 0.0000 0.0000 -2.7445 4.7536" Properties=species:S:1:pos:R:3 pbc="T T T"
Dy 2.2251 2.7445 1.5845
Mg 0.0000 0.0000 3.1690
W 2.2251 0.0000 0.0000
O 3.2867 1.8571 3.3694
O 3.2867 -1.1021 4.6771
O 3.2867 -0.7550 1.4606
O 1.1634 0.7550 1.4606
O 1.1634 1.1021 4.6771
O 1.1634 -1.8571 3.3694
```